Record 1
Crystalline Sr2NpCu2S6 at its relaxed geometry. Source: the Alexandria database, functional PBE.

Results
VASP energy (eV/atom): -5.520
Calculated volume (Å³ per atom): 24.75
ΔE_f (raw) (eV/f.u.): -11.46

Geometry as extended XYZ:
```
11
Lattice="3.6040 2.0808 6.0497 -3.6040 2.0808 6.0497 0.0000 -4.1615 6.0497" Properties=species:S:1:pos:R:3 pbc="T T T"
Sr 0.0000 0.0000 3.9707
Sr 0.0000 0.0000 14.1785
Np 0.0000 0.0000 0.0000
Cu 0.0000 0.0000 7.6995
Cu 0.0000 0.0000 10.4497
S -1.8912 -1.0919 10.5075
S 0.0000 -2.1838 7.6416
S -1.8912 1.0919 7.6416
S 1.8912 -1.0919 10.5075
S 0.0000 2.1838 10.5075
S 1.8912 1.0919 7.6417
```

=====

Record 2
Crystalline Zr2BeW at its relaxed geometry. Source: the Alexandria database, functional PBE.

Results
VASP energy (eV/atom): -8.254
ΔE_f (eV per atom): 0.190
Calculated volume (Å³ per atom): 17.46

Geometry as extended XYZ:
```
4
Lattice="2.8270 0.0000 0.0000 0.0000 2.8270 0.0000 0.0000 0.0000 8.7411" Properties=species:S:1:pos:R:3 pbc="T T T"
Zr 0.0000 0.0000 0.0000
Zr 1.4135 1.4135 2.8538
Be 0.0000 0.0000 4.7216
W 1.4135 1.4135 6.3295
```

=====

Record 3
Crystalline CrMo12W6 at its relaxed geometry. Source: the Alexandria database, functional PBE.

Results
VASP energy (eV/atom): -11.038
ΔE_f (eV per atom): 0.399
Calculated volume (Å³ per atom): 16.50

Geometry as extended XYZ:
```
19
Lattice="5.7683 3.3303 2.7193 -5.7683 3.3303 2.7193 0.0000 -6.6607 2.7193" Properties=species:S:1:pos:R:3 pbc="T T T"
Cr 0.0000 0.0000 0.0000
Mo -1.1928 -4.1686 3.1510
Mo -1.9138 -1.7342 3.5739
Mo -4.2065 -1.0513 5.0068
Mo -3.0137 3.1173 3.1510
Mo -2.4587 0.7903 4.5839
Mo 0.5449 -2.5245 4.5839
Mo -0.5449 2.5245 3.5739
Mo 2.4587 -0.7903 3.5739
Mo 3.0137 -3.1173 5.0068
Mo 4.2065 1.0513 3.1510
Mo 1.9138 1.7342 4.5839
Mo 1.1928 4.1686 5.0068
W -1.6174 0.4491 2.0182
W 0.4198 -1.6252 2.0182
W 1.1976 1.1762 2.0182
W -1.1976 -1.1762 6.1397
W -0.4198 1.6252 6.1397
W 1.6174 -0.4491 6.1397
```

=====

Record 4
Crystalline AgAsIr at its relaxed geometry. Source: the Alexandria database, functional PBE.

Results
VASP energy (eV/atom): -5.385
Energy above the lowest structure with this stoichiometry (meV/atom): 58
ΔE_f (eV per atom): 0.069
Calculated volume (Å³ per atom): 17.91

Geometry as extended XYZ:
```
3
Lattice="5.9798 -1.4947 0.0000 5.9798 1.4947 0.0000 -0.0348 0.0000 3.0064" Properties=species:S:1:pos:R:3 pbc="T T T"
Ag 0.0000 0.0000 0.0000
As 8.5116 0.0000 2.9733
Ir 3.9133 0.0000 1.4846
```

=====

Record 5
Crystalline Mo2Br3 at its relaxed geometry. Source: the Alexandria database, functional PBE.

Results
VASP energy (eV/atom): -4.839
Energy above the lowest structure with this stoichiometry (meV/atom): 573
Calculated volume (Å³ per atom): 24.66
ΔE_f (raw) (eV/f.u.): 2.49

Geometry as extended XYZ:
```
5
Lattice="2.0112 1.1612 8.7996 -2.0112 1.1612 8.7996 0.0000 -2.3224 8.7996" Properties=species:S:1:pos:R:3 pbc="T T T"
Mo 0.0000 0.0000 3.4226
Mo 0.0000 0.0000 22.9761
Br 0.0000 0.0000 7.0310
Br 0.0000 0.0000 13.1994
Br 0.0000 0.0000 19.3677
```

=====

Record 6
Crystalline Ce2YPa at its relaxed geometry. Source: the Alexandria database, functional PBE.

Results
VASP energy (eV/atom): -6.756
Energy above the lowest structure with this stoichiometry (meV/atom): 113
ΔE_f (eV per atom): 0.201
Calculated volume (Å³ per atom): 27.47

Geometry as extended XYZ:
```
4
Lattice="4.8229 0.0000 0.0000 0.0000 4.8229 0.0000 0.0000 0.0000 4.7246" Properties=species:S:1:pos:R:3 pbc="T T T"
Ce 0.0000 2.4114 0.0000
Ce 2.4114 0.0000 0.0000
Y 0.0000 0.0000 2.3623
Pa 2.4114 2.4114 2.3623
```

=====

Record 7
Crystalline NaBi2Pb at its relaxed geometry. Source: the Alexandria database, functional PBE.

Results
VASP energy (eV/atom): -3.337
ΔE_f (eV per atom): -0.140
Calculated volume (Å³ per atom): 30.62

Geometry as extended XYZ:
```
4
Lattice="5.0190 0.0000 0.0000 0.0000 5.0190 0.0000 0.0000 0.0000 4.8624" Properties=species:S:1:pos:R:3 pbc="T T T"
Na 0.0000 0.0000 0.0000
Bi 0.0000 2.5095 2.4312
Bi 2.5095 0.0000 2.4312
Pb 2.5095 2.5095 0.0000
```

=====

Record 8
Crystalline Hg3N2Cl6 at its relaxed geometry. Source: the Alexandria database, functional PBE.

Results
VASP energy (eV/atom): -2.048
Calculated volume (Å³ per atom): 27.63
ΔE_f (raw) (eV/f.u.): 6.11

Geometry as extended XYZ:
```
22
Lattice="5.4471 0.0000 0.0000 0.0000 8.4268 0.0000 0.0000 0.0000 13.2435" Properties=species:S:1:pos:R:3 pbc="T T T"
Hg 0.0000 0.0000 0.0000
Hg 0.0000 3.0343 4.9115
Hg 0.0000 5.3925 8.3320
Hg 2.7236 0.0000 6.6218
Hg 2.7236 3.0343 1.7103
Hg 2.7236 5.3925 11.5333
N 0.0000 1.7694 12.0614
N 0.0000 6.6574 1.1822
N 2.7236 1.7694 7.8039
N 2.7236 6.6574 5.4396
Cl 0.0000 0.6365 4.9274
Cl 0.0000 3.0018 1.8157
Cl 0.0000 3.0070 8.1486
Cl 0.0000 5.4198 5.0950
Cl 0.0000 5.4250 11.4278
Cl 0.0000 7.7903 8.3161
Cl 2.7236 0.6365 1.6943
Cl 2.7236 3.0018 4.8061
Cl 2.7236 3.0070 11.7167
Cl 2.7236 5.4198 1.5268
Cl 2.7236 5.4250 8.4375
Cl 2.7236 7.7903 11.5492
```

=====

Which formula does entry 4 have?
AgAsIr